Record 1
# Be2MoH6

Crystalline Be2MoH6 at its relaxed geometry (PBE-GGA, Alexandria).

CIF file:
```
data_Be2MoH6
_chemical_formula_sum 'Be8 Mo4 H24'
_cell_length_a 6.2447
_cell_length_b 6.2447
_cell_length_c 6.2447
_cell_angle_alpha 90.00
_cell_angle_beta 90.00
_cell_angle_gamma 90.00
_space_group_name_H-M_alt 'F m -3 m'
_space_group_IT_number 225
_space_group_name_Hall '-F 4 2 3'
loop_
_atom_site_label
_atom_site_type_symbol
_atom_site_fract_x
_atom_site_fract_y
_atom_site_fract_z
Be1 Be 0.2500 0.2500 0.2500
Mo1 Mo 0.0000 0.0000 0.0000
H1 H 0.0000 0.0000 0.2807
```

## Properties
The total energy is -3.751 eV per atom.

---

Record 2
# Ba2Zn4PdAu3

Crystalline Ba2Zn4PdAu3 at its relaxed geometry (PBE-GGA, Alexandria).

CIF file:
```
data_Ba2Zn4PdAu3
_chemical_formula_sum 'Ba2 Zn4 Pd1 Au3'
_cell_length_a 4.6820
_cell_length_b 4.6820
_cell_length_c 10.5027
_cell_angle_alpha 90.00
_cell_angle_beta 90.00
_cell_angle_gamma 90.00
_space_group_name_H-M_alt 'P -4 m 2'
_space_group_IT_number 115
loop_
_space_group_symop_operation_xyz
'x,y,z'
'y,-x,-z'
'-x,-y,z'
'-y,x,-z'
'-x,y,z'
'-y,-x,-z'
'x,-y,z'
'y,x,-z'
loop_
_atom_site_label
_atom_site_type_symbol
_atom_site_fract_x
_atom_site_fract_y
_atom_site_fract_z
Ba1 Ba 0.0000 0.5000 0.2418
Zn1 Zn 0.0000 0.0000 0.5000
Zn2 Zn 0.0000 0.5000 0.8838
Zn3 Zn 0.5000 0.5000 0.5000
Pd1 Pd 0.5000 0.5000 0.0000
Au1 Au 0.0000 0.0000 0.0000
Au2 Au 0.0000 0.5000 0.6281
```

## Properties
The formation energy comes out at -504 meV/atom.

---

Record 3
# MnOsBr2

Crystalline MnOsBr2 at its relaxed geometry (PBE-GGA, Alexandria).

CIF file:
```
data_MnOsBr2
_chemical_formula_sum 'Mn1 Os1 Br2'
_cell_length_a 3.4071
_cell_length_b 3.4795
_cell_length_c 7.8881
_cell_angle_alpha 90.00
_cell_angle_beta 98.91
_cell_angle_gamma 90.00
_space_group_name_H-M_alt 'P 1 m 1'
_space_group_IT_number 6
loop_
_space_group_symop_operation_xyz
'x,y,z'
'x,-y,z'
loop_
_atom_site_label
_atom_site_type_symbol
_atom_site_fract_x
_atom_site_fract_y
_atom_site_fract_z
Mn1 Mn 0.0000 0.0000 0.0000
Os1 Os 0.5456 0.5000 0.1187
Br1 Br 0.2954 0.5000 0.7964
Br2 Br 0.6580 0.0000 0.3587
```

## Properties
Its raw formation energy is 0.312 eV/atom.

---

Record 4
# Cs5Te4

Crystalline Cs5Te4 at its relaxed geometry (PBE-GGA, Alexandria).

CIF file:
```
data_Cs5Te4
_chemical_formula_sum 'Cs10 Te8'
_cell_length_a 12.8231
_cell_length_b 6.0174
_cell_length_c 12.9980
_cell_angle_alpha 90.00
_cell_angle_beta 113.16
_cell_angle_gamma 90.00
_space_group_name_H-M_alt 'C 1 2/m 1'
_space_group_IT_number 12
loop_
_space_group_symop_operation_xyz
'x,y,z'
'-x,-y,-z'
'-x,y,-z'
'x,-y,z'
'x+1/2,y+1/2,z'
'-x+1/2,-y+1/2,-z'
'-x+1/2,y+1/2,-z'
'x+1/2,-y+1/2,z'
loop_
_atom_site_label
_atom_site_type_symbol
_atom_site_fract_x
_atom_site_fract_y
_atom_site_fract_z
Cs1 Cs 0.0000 0.0000 0.0000
Cs2 Cs 0.1164 0.5000 0.8182
Cs3 Cs 0.2003 0.0000 0.3738
Te1 Te 0.1014 0.0000 0.6217
Te2 Te 0.1740 0.5000 0.1549
```

## Properties
Its raw formation energy is -0.876 eV/atom.

---

Record 5
# CeTm2BeN4

Crystalline CeTm2BeN4 at its relaxed geometry (PBE-GGA, Alexandria).

CIF file:
```
data_CeTm2BeN4
_chemical_formula_sum 'Ce4 Tm8 Be4 N16'
_cell_length_a 3.3454
_cell_length_b 10.9316
_cell_length_c 11.2053
_cell_angle_alpha 90.00
_cell_angle_beta 90.00
_cell_angle_gamma 90.00
_space_group_name_H-M_alt 'C m c m'
_space_group_IT_number 63
_space_group_name_Hall '-C 2c 2'
loop_
_atom_site_label
_atom_site_type_symbol
_atom_site_fract_x
_atom_site_fract_y
_atom_site_fract_z
Ce1 Ce 0.0000 0.0991 0.2500
Tm1 Tm 0.0000 0.3676 0.0533
Be1 Be 0.0000 0.1791 0.7500
N1 N 0.0000 0.0000 0.0000
N2 N 0.0000 0.2697 0.6301
N3 N 0.0000 0.4376 0.2500
```

## Properties
Its raw formation energy is -1.476 eV/atom.

---

Record 6
# BeMoAu

Crystalline BeMoAu at its relaxed geometry (PBE-GGA, Alexandria).

CIF file:
```
data_BeMoAu
_chemical_formula_sum 'Be4 Mo4 Au4'
_cell_length_a 5.6752
_cell_length_b 5.6752
_cell_length_c 5.6752
_cell_angle_alpha 90.00
_cell_angle_beta 90.00
_cell_angle_gamma 90.00
_space_group_name_H-M_alt 'F -4 3 m'
_space_group_IT_number 216
_space_group_name_Hall 'F -4 2 3'
loop_
_atom_site_label
_atom_site_type_symbol
_atom_site_fract_x
_atom_site_fract_y
_atom_site_fract_z
Be1 Be 0.0000 0.0000 0.0000
Mo1 Mo 0.2500 0.2500 0.7500
Au1 Au 0.2500 0.2500 0.2500
```

## Properties
The formation energy comes out at 476 meV/atom.

---

Record 7
# TiAs

Crystalline TiAs at its relaxed geometry (PBE-GGA, Alexandria).

CIF file:
```
data_TiAs
_chemical_formula_sum 'Ti8 As8'
_cell_length_a 8.3199
_cell_length_b 8.3199
_cell_length_c 5.0030
_cell_angle_alpha 90.00
_cell_angle_beta 90.00
_cell_angle_gamma 90.00
_space_group_name_H-M_alt 'I 4/m'
_space_group_IT_number 87
_space_group_name_Hall '-I 4'
loop_
_atom_site_label
_atom_site_type_symbol
_atom_site_fract_x
_atom_site_fract_y
_atom_site_fract_z
Ti1 Ti 0.1143 0.3341 0.0000
As1 As 0.1083 0.2876 0.5000
```

## Properties
The formation energy comes out at -657 meV/atom.

---

Record 8
# Cs2BiSeI6

Crystalline Cs2BiSeI6 at its relaxed geometry (PBE-GGA, Alexandria).

CIF file:
```
data_Cs2BiSeI6
_chemical_formula_sum 'Cs4 Bi2 Se2 I12'
_cell_length_a 8.8227
_cell_length_b 8.8227
_cell_length_c 12.0527
_cell_angle_alpha 90.00
_cell_angle_beta 90.00
_cell_angle_gamma 90.00
_space_group_name_H-M_alt 'I 4/m m m'
_space_group_IT_number 139
_space_group_name_Hall '-I 4 2'
loop_
_atom_site_label
_atom_site_type_symbol
_atom_site_fract_x
_atom_site_fract_y
_atom_site_fract_z
Cs1 Cs 0.0000 0.5000 0.2500
Bi1 Bi 0.0000 0.0000 0.0000
Se1 Se 0.0000 0.0000 0.5000
I1 I 0.0000 0.0000 0.2578
I2 I 0.2488 0.2488 0.0000
```

## Properties
Its raw formation energy is -0.703 eV/atom.

---

Record 9
# YCdOsO6

Crystalline YCdOsO6 at its relaxed geometry (PBE-GGA, Alexandria).

CIF file:
```
data_YCdOsO6
_chemical_formula_sum 'Y2 Cd2 Os2 O12'
_cell_length_a 5.5536
_cell_length_b 5.5536
_cell_length_c 9.2375
_cell_angle_alpha 90.00
_cell_angle_beta 90.00
_cell_angle_gamma 120.00
_space_group_name_H-M_alt 'P -3 1 c'
_space_group_IT_number 163
_space_group_name_Hall '-P 3 2c'
loop_
_atom_site_label
_atom_site_type_symbol
_atom_site_fract_x
_atom_site_fract_y
_atom_site_fract_z
Y1 Y 0.3333 0.6667 0.2500
Cd1 Cd 0.0000 0.0000 0.0000
Os1 Os 0.3333 0.6667 0.7500
O1 O 0.0467 0.3845 0.6337
```

## Properties
Its raw formation energy is -1.627 eV/atom.

---

Record 10
# Tb5Er3Ru2

Crystalline Tb5Er3Ru2 at its relaxed geometry (PBE-GGA, Alexandria).

CIF file:
```
data_Tb5Er3Ru2
_chemical_formula_sum 'Tb20 Er12 Ru8'
_cell_length_a 12.1623
_cell_length_b 14.1004
_cell_length_c 6.6511
_cell_angle_alpha 90.00
_cell_angle_beta 90.00
_cell_angle_gamma 90.00
_space_group_name_H-M_alt 'I b a m'
_space_group_IT_number 72
_space_group_name_Hall '-I 2 2c'
loop_
_atom_site_label
_atom_site_type_symbol
_atom_site_fract_x
_atom_site_fract_y
_atom_site_fract_z
Tb1 Tb 0.0000 0.0000 0.2500
Tb2 Tb 0.0000 0.2254 0.2500
Tb3 Tb 0.2166 0.0608 0.0000
Er1 Er 0.0000 0.5000 0.2500
Er2 Er 0.2410 0.3143 0.0000
Ru1 Ru 0.1073 0.3439 0.5000
```

## Properties
The formation energy comes out at -10 meV/atom.

---

Record 11
# Sm2NCl2

Crystalline Sm2NCl2 at its relaxed geometry (PBE-GGA, Alexandria).

CIF file:
```
data_Sm2NCl2
_chemical_formula_sum 'Sm8 N4 Cl8'
_cell_length_a 19.8900
_cell_length_b 3.9483
_cell_length_c 7.4024
_cell_angle_alpha 90.00
_cell_angle_beta 97.60
_cell_angle_gamma 90.00
_space_group_name_H-M_alt 'C 1 2/m 1'
_space_group_IT_number 12
loop_
_space_group_symop_operation_xyz
'x,y,z'
'-x,-y,-z'
'-x,y,-z'
'x,-y,z'
'x+1/2,y+1/2,z'
'-x+1/2,-y+1/2,-z'
'-x+1/2,y+1/2,-z'
'x+1/2,-y+1/2,z'
loop_
_atom_site_label
_atom_site_type_symbol
_atom_site_fract_x
_atom_site_fract_y
_atom_site_fract_z
Sm1 Sm 0.1666 0.0000 0.3563
Sm2 Sm 0.1783 0.5000 0.9281
N1 N 0.2085 0.0000 0.0994
Cl1 Cl 0.0771 0.5000 0.2050
Cl2 Cl 0.1036 0.0000 0.6886
```

## Properties
Its raw formation energy is -1.775 eV/atom.

---

Record 12
# CoPb

Crystalline CoPb at its relaxed geometry (PBE-GGA, Alexandria).

CIF file:
```
data_CoPb
_chemical_formula_sum 'Co6 Pb6'
_cell_length_a 7.1893
_cell_length_b 7.1893
_cell_length_c 7.1893
_cell_angle_alpha 90.00
_cell_angle_beta 90.00
_cell_angle_gamma 90.00
_space_group_name_H-M_alt 'P m -3 n'
_space_group_IT_number 223
_space_group_name_Hall '-P 4n 2 3'
loop_
_atom_site_label
_atom_site_type_symbol
_atom_site_fract_x
_atom_site_fract_y
_atom_site_fract_z
Co1 Co 0.0000 0.2500 0.5000
Pb1 Pb 0.0000 0.5000 0.2500
```

## Properties
The formation energy comes out at 1102 meV/atom.

---

no.,ρ (Mg/m³)
1,3.27
2,8.90
3,7.28
4,4.23
5,8.80
6,10.97
7,4.71
8,4.66
9,6.56
10,8.73
11,4.45
12,7.14